LiTb2S3 | GGA-PBE | relaxed

Computed properties:
The calculated density comes out at 5.80 g/cm3. Its energy relative to the elements, uncorrected is -1048 kJ/mol of formula units.

abc: 3.6794 4.3678 14.9939
angles: 90.00 90.00 90.00
With the nearest neighbours (Å) after each atom.
Space group Immm (No. 71)
Symmetry-distinct sites (fractional):
Li 0.0000 0.0000 0.0000 (multiplicity 2)  2 S 2.18
Tb 0.0000 0.0000 0.3593 (multiplicity 4)  7 S 2.79-2.90
S 0.0000 0.0000 0.1731 (multiplicity 4)  1 Li 2.60, 5 Tb 2.79-2.90
S 0.0000 0.5000 0.0000 (multiplicity 2)  2 Li 2.18

PrPa3C | GGA-PBE | relaxed

Computed properties:
The value obtained for the energy of formation from the pure elements is -14 meV/atom. The calculated density comes out at 11.86 g/cm3.

abc: 4.9112 4.9112 4.9112
angles: 90.00 90.00 90.00
With the nearest neighbours (Å) after each atom.
Space group Pm-3m (No. 221)
Symmetry-distinct sites (fractional):
Pr 0.0000 0.0000 0.0000 (multiplicity 1)  12 Pa 3.47
Pa 0.0000 0.5000 0.5000 (multiplicity 3)  2 C 2.46
C 0.5000 0.5000 0.5000 (multiplicity 1)  6 Pa 2.46

Zn6Cu6Ag | GGA-PBE | relaxed

Computed properties:
The value obtained for the energy of formation from the pure elements is -54 meV/atom. The calculated density comes out at 8.02 g/cm3.

abc: 4.9932 8.5139 8.5903
angles: 90.00 90.00 90.00
With the nearest neighbours (Å) after each atom.
Space group Immm (No. 71)
Symmetry-distinct sites (fractional):
Zn 0.0000 0.0000 0.1590 (multiplicity 4)  6 Cu 2.59-2.60, 3 Zn 2.73-2.86
Zn 0.0000 0.3365 0.5000 (multiplicity 4)  6 Cu 2.59-2.63, 1 Zn 2.78, 1 Ag 2.86
Zn 0.0000 0.5000 0.1781 (multiplicity 4)  6 Cu 2.54-2.55
Cu 0.0000 0.2599 0.0000 (multiplicity 4)  4 Cu 2.49, 6 Zn 2.55-2.63
Cu 0.2500 0.2500 0.2500 (multiplicity 8)  4 Cu 2.49-2.50, 6 Zn 2.54-2.59
Ag 0.0000 0.0000 0.5000 (multiplicity 2)  8 Zn 2.86-2.93

CaZr2Tc | GGA-PBE | relaxed

Computed properties:
The value obtained for the energy of formation from the pure elements is 766 meV/atom. The calculated density comes out at 5.77 g/cm3.

abc: 4.2568 4.2568 20.3532
angles: 90.00 90.00 90.00
With the nearest neighbours (Å) after each atom.
Space group I-42d (No. 122)
Symmetry-distinct sites (fractional):
Ca 0.0000 0.0000 0.0000 (multiplicity 4)  4 Zr 3.00, 4 Tc 3.01
Zr 0.2250 0.2500 0.6250 (multiplicity 8)  4 Zr 2.86-3.16, 2 Tc 2.92, 2 Ca 3.00
Tc 0.0000 0.0000 0.5000 (multiplicity 4)  4 Zr 2.92, 4 Ca 3.01

Ce2Sc4Sb3O2 | GGA-PBE | relaxed

Computed properties:
The calculated density comes out at 5.96 g/cm3. Its energy relative to the elements, uncorrected is -1748 kJ/mol of formula units.

abc: 4.4056 4.4056 24.5985
angles: 90.00 90.00 90.00
With the nearest neighbours (Å) after each atom.
Space group I4/mmm (No. 139)
Symmetry-distinct sites (fractional):
Ce 0.0000 0.0000 0.1964 (multiplicity 4)  1 O 2.61
Sc 0.0000 0.5000 0.0817 (multiplicity 8)  2 O 2.21
Sb 0.0000 0.0000 0.3291 (multiplicity 4)  4 Sc 3.11, 5 Ce 3.18-3.26
Sb 0.0000 0.0000 0.5000 (multiplicity 2)  8 Sc 2.98
O 0.0000 0.0000 0.0903 (multiplicity 4)  4 Sc 2.21

Ac3PrSm2S6 | GGA-PBE | relaxed

Computed properties:
The calculated density comes out at 7.09 g/cm3. Its energy relative to the elements, uncorrected is -2326 kJ/mol of formula units.

abc: 7.2004 12.4939 7.2628
angles: 90.00 109.40 90.00
With the nearest neighbours (Å) after each atom.
Space group C2/m (No. 12)
Symmetry-distinct sites (fractional):
Ac 0.0000 0.0000 0.0000 (multiplicity 2)  6 S 3.00-3.03
Ac 0.0000 0.3351 0.0000 (multiplicity 4)  6 S 3.01-3.04
Pr 0.0000 0.5000 0.5000 (multiplicity 2)  6 S 2.91
Sm 0.0000 0.1667 0.5000 (multiplicity 4)  6 S 2.86-2.87
S 0.2383 0.0000 0.7307 (multiplicity 4)  2 Sm 2.86, 1 Pr 2.91, 3 Ac 3.00-3.03
S 0.2467 0.3308 0.7328 (multiplicity 8)  2 Sm 2.87, 1 Pr 2.91, 3 Ac 3.01-3.04

La2Mg16Ga | GGA-PBE | relaxed

Computed properties:
The value obtained for the energy of formation from the pure elements is -95 meV/atom. The calculated density comes out at 2.64 g/cm3.

abc: 10.2850 10.2850 15.1607
angles: 90.00 90.00 120.00
With the nearest neighbours (Å) after each atom.
Space group R3m (No. 160, hexagonal axes)
Symmetry-distinct sites (fractional):
La 0.0000 0.0000 0.0000 (multiplicity 3)  1 Ga 3.30, 6 Mg 3.61
La 0.0000 0.0000 0.3485 (multiplicity 3)  16 Mg 3.60-3.85
Mg 0.0000 0.0000 0.5905 (multiplicity 3)  1 Ga 2.91, 3 Mg 3.24
Mg 0.0000 0.3016 0.6757 (multiplicity 18)  8 Mg 2.97-3.15
Mg 0.0046 0.5023 0.8294 (multiplicity 9)  8 Mg 2.94-3.15
Mg 0.1678 0.3357 0.5089 (multiplicity 9)  9 Mg 2.97-3.24, 1 Ga 3.08
Mg 0.1704 0.3408 0.8551 (multiplicity 9)  8 Mg 2.94-3.15, 1 Ga 3.23
Ga 0.0000 0.0000 0.7823 (multiplicity 3)  7 Mg 2.91-3.23

KSr2MnBr8 | GGA-PBE | relaxed

Computed properties:
The calculated density comes out at 3.42 g/cm3. Its energy relative to the elements, uncorrected is -1752 kJ/mol of formula units.

abc: 6.7016 9.1261 7.2148
angles: 90.00 92.03 90.00
With the nearest neighbours (Å) after each atom.
Space group P2/m (No. 10)
Symmetry-distinct sites (fractional):
K 0.0000 0.0000 0.0000 (multiplicity 1)  6 Br 3.17-3.30
Sr 0.5000 0.2624 0.5000 (multiplicity 2)  6 Br 3.04-3.20
Mn 0.0000 0.5000 0.0000 (multiplicity 1)  4 Br 2.46
Br 0.2170 0.3081 0.1379 (multiplicity 4)  1 Mn 2.46
Br 0.2458 0.5000 0.6742 (multiplicity 2)  1 Mn 2.92, 2 Sr 3.06
Br 0.2862 0.0000 0.6587 (multiplicity 2)  2 Sr 3.04, 1 K 3.17